1:
Entry from Alexandria via LeMat-Bulk: an optimized crystal structure of AlRe3Bi (PBE-GGA).

Lattice parameters (Å, degrees): 4.589 4.589 4.589 90.00 90.00 90.00
Fractional positions:
Al1 0.000 0.000 0.000
Re1 0.000 0.000 0.500
Re2 0.000 0.500 0.000
Re3 0.500 0.000 0.000
Bi1 0.500 0.500 0.500

Properties
- density of states at the Fermi level (states/eV per cell) = 3.610
- crystal system = cubic

2:
Entry from Alexandria via LeMat-Bulk: an optimized crystal structure of AlRe3Bi (PBE-GGA).

Lattice parameters (Å, degrees): 4.958 4.958 4.958 90.00 90.00 90.00
Fractional positions:
Al1 0.000 0.000 0.000
Re1 0.000 0.500 0.500
Re2 0.500 0.000 0.500
Re3 0.500 0.500 0.000
Bi1 0.500 0.500 0.500

Properties
- density of states at the Fermi level (states/eV per cell) = 3.428
- crystal system = cubic

Q: Which of them is the most stable? A: 1.

1:
Entry from Alexandria via LeMat-Bulk: an optimized crystal structure of AlReBi3 (PBE-GGA).

Lattice parameters (Å, degrees): 5.336 5.336 5.336 90.00 90.00 90.00
Fractional positions:
Al1 0.000 0.000 0.000
Re1 0.500 0.500 0.500
Bi1 0.000 0.000 0.500
Bi2 0.000 0.500 0.000
Bi3 0.500 0.000 0.000

Properties
- density of states at the Fermi level (states/eV per cell) = 4.945
- crystal system = cubic

2:
Entry from Alexandria via LeMat-Bulk: an optimized crystal structure of AlReBi3 (PBE-GGA).

Lattice parameters (Å, degrees): 5.359 5.359 5.359 90.00 90.00 90.00
Fractional positions:
Al1 0.000 0.000 0.000
Re1 0.500 0.500 0.500
Bi1 0.000 0.500 0.500
Bi2 0.500 0.000 0.500
Bi3 0.500 0.500 0.000

Properties
- density of states at the Fermi level (states/eV per cell) = 4.979
- crystal system = cubic

Q: Which of them is the most stable? A: 2.

1:
Entry from Alexandria via LeMat-Bulk: an optimized crystal structure of AlBiRu2 (PBE-GGA).

Lattice parameters (Å, degrees): 4.517 4.517 4.517 60.00 60.00 60.00
Fractional positions:
Al1 0.000 0.000 0.000
Bi1 0.500 0.500 0.500
Ru1 0.250 0.250 0.250
Ru2 0.750 0.750 0.750

Properties
- density of states at the Fermi level (states/eV per cell) = 0.513
- crystal system = cubic

2:
Entry from Alexandria via LeMat-Bulk: an optimized crystal structure of AlBiRu2 (PBE-GGA).

Lattice parameters (Å, degrees): 9.130 9.130 9.130 153.06 153.06 38.46
Fractional positions:
Al1 0.000 0.000 0.000
Al2 0.750 0.250 0.500
Bi1 0.250 0.750 0.500
Bi2 0.500 0.500 0.000
Ru1 0.052 0.625 0.927
Ru2 0.375 0.302 0.427
Ru3 0.698 0.125 0.073
Ru4 0.875 0.948 0.573

Properties
- density of states at the Fermi level (states/eV per cell) = 8.609
- crystal system = tetragonal

Q: Which of them is the most stable? A: 1.